Material: Dy8Ag2Te
Method: DFT, GGA-PBE
State: optimized geometry

a = 5.6868 Å, b = 8.0948 Å, c = 8.0948 Å
α = 116.08°, β = 99.21°, γ = 99.21°
Last column: nearest neighbours and their distance in Å.
Atoms (fractional coordinates):
Dy: 0.8880 0.9143 0.6786  2 Ag 2.99-3.07, 2 Dy 3.24-3.33
Dy: 0.8880 0.6786 0.9143  2 Ag 2.99-3.07, 2 Dy 3.24-3.33
Dy: 0.3007 0.6024 0.6024  2 Ag 3.15, 1 Te 3.25, 2 Dy 3.26-3.34
Dy: 0.5000 0.7622 0.2378  2 Ag 2.99, 1 Te 3.27
Dy: 0.5000 0.2378 0.7622  2 Ag 2.99, 1 Te 3.27
Dy: 0.6993 0.3976 0.3976  2 Ag 3.15, 1 Te 3.25, 2 Dy 3.26-3.34
Dy: 0.1120 0.3214 0.0857  2 Ag 2.99-3.07, 2 Dy 3.24-3.33
Dy: 0.1120 0.0857 0.3214  2 Ag 2.99-3.07, 2 Dy 3.24-3.33
Ag: 0.0000 0.3054 0.6946  8 Dy 2.99-3.15
Ag: 0.0000 0.6946 0.3054  8 Dy 2.99-3.15
Te: 0.5000 0.0000 0.0000  8 Dy 3.25-3.59

Symmetry: No. 12
Total magnetic moment, μB/f.u.: 0.0
Crystal system: monoclinic
Formation energy from raw total energies, eV/atom: -0.16
V, Å³/f.u.: 319.0
Final energy, eV/atom: -4.31